Entry 1:
# KBeZn2Co

An optimized crystal structure of KBeZn2Co (PBE-GGA, the Alexandria database).

Output
ρ   3.7 g cm⁻³
Total magnetic moment   1.95 μB per cell
Energy of formation from the pure elements   992 meV per atom
Volume   21.46 Å³ per atom
Space group   No. 123

abc: 4.441 5.442 4.441
angles: 90.00 90.00 90.00
Fractional positions:
Zn 0.000 0.000 0.500
Zn 0.500 0.000 0.000
Be 0.000 0.000 0.000
K 0.000 0.500 0.000
Co 0.500 0.500 0.500



Entry 2:
# La2BeCo

An optimized crystal structure of La2BeCo (PBE-GGA, the Alexandria database).

Output
ρ   5.7 g cm⁻³
Total magnetic moment   0.00 μB per cell
Energy of formation from the pure elements   283 meV per atom
Volume   25.25 Å³ per atom
Space group   No. 12

abc: 3.945 3.945 7.838
angles: 75.75 75.75 59.73
Fractional positions:
La 0.510 0.510 0.468
La 0.990 0.990 0.032
Co 0.250 0.250 0.250
Be 0.750 0.750 0.750